The following is a DFT calculation (PBE) of a geometry-optimized CaSm4ErSe8 structure.

a b c (Å): 8.5886 8.5886 20.8906
angles (deg): 90.00 90.00 120.00
Space group R3m (No. 160, hexagonal axes)
One atom of each set of equivalent atoms:
Ca: 0.0000 0.0000 0.0000
Sm: 0.0000 0.0000 0.2486
Sm: 0.1694 0.3388 0.4571
Er: 0.0000 0.0000 0.6267
Se: 0.0000 0.0000 0.3819
Se: 0.0000 0.0000 0.8660
Se: 0.0276 0.5138 0.3748
Se: 0.1801 0.3601 0.2075

Properties
Electronic total energy in Ry per atom: -0.4121
M_tot in μB/cell: 0.0
Energy relative to the elements, uncorrected in eV per formula unit: -25.18
Volume in Å³/f.u.: 444.8